Entry 1:
HgOs2 | PBE | optimized geometry

N(E_F) ... 4.6 states/eV per cell
ρ ... 19.170 g cm⁻³
E_form ... 637 meV per atom
Volume ... 16.8 Å³/atom
Size of the total moment ... 0.000 μB per atom

a = 5.3533 Å, b = 5.3533 Å, c = 7.3678 Å
α = 71.53°, β = 71.53°, γ = 30.31°
Fractional coordinates of all 6 atoms:
1 Os 0.4590 0.4590 0.7501
2 Os 0.5410 0.5410 0.2499
3 Os 0.1365 0.1365 0.4814
4 Os 0.8635 0.8635 0.5186
5 Hg 0.1641 0.1641 0.8788
6 Hg 0.8359 0.8359 0.1212

Entry 2:
GaI | PBE | optimized geometry

N(E_F) ... 0.0 states/eV per cell
ρ ... 3.342 g cm⁻³
Volume ... 48.8 Å³/atom
Formation energy from raw total energies ... -0.253 eV per atom
Size of the total moment ... 0.000 μB per atom

a = 13.2014 Å, b = 13.2014 Å, c = 4.4848 Å
α = 90.00°, β = 90.00°, γ = 90.00°
Fractional coordinates of all 16 atoms:
1 Ga 0.6705 0.8634 0.0000
2 Ga 0.6366 0.1705 0.5000
3 Ga 0.1705 0.3634 0.5000
4 Ga 0.3295 0.1366 0.0000
5 Ga 0.8634 0.3295 0.0000
6 Ga 0.1366 0.6705 0.0000
7 Ga 0.3634 0.8295 0.5000
8 Ga 0.8295 0.6366 0.5000
9 I 0.2890 0.6148 0.5000
10 I 0.2110 0.8852 0.0000
11 I 0.1148 0.2110 0.0000
12 I 0.6148 0.7110 0.5000
13 I 0.3852 0.2890 0.5000
14 I 0.7890 0.1148 0.0000
15 I 0.8852 0.7890 0.0000
16 I 0.7110 0.3852 0.5000

Entry 3:
Sr3TbPa2P6 | PBE | optimized geometry

N(E_F) ... 5.7 states/eV per cell
ρ ... 5.755 g cm⁻³
E_form ... -1298 meV per atom
Volume ... 25.7 Å³/atom
Size of the total moment ... 0.000 μB per atom

a = 7.1694 Å, b = 7.1694 Å, c = 7.3335 Å
α = 99.38°, β = 99.38°, γ = 119.99°
Fractional coordinates of all 12 atoms:
1 Sr 0.8354 0.1646 0.5000
2 Sr 0.5000 0.5000 0.5000
3 Sr 0.1646 0.8354 0.5000
4 Pa 0.3330 0.6670 0.0000
5 Pa 0.6670 0.3330 0.0000
6 P 0.2710 0.2710 0.7842
7 P 0.0721 0.4150 0.2158
8 P 0.5850 0.9279 0.7842
9 P 0.4150 0.0721 0.2158
10 P 0.9279 0.5850 0.7842
11 P 0.7290 0.7290 0.2158
12 Tb 0.0000 0.0000 0.0000

Entry 4:
Dy2Mn17C2 | PBE | optimized geometry

N(E_F) ... 21.2 states/eV per cell
ρ ... 8.180 g cm⁻³
E_form ... -72 meV per atom
Volume ... 12.4 Å³/atom
Size of the total moment ... 0.315 μB per atom

a = 6.4351 Å, b = 6.4133 Å, c = 6.4133 Å
α = 83.94°, β = 83.83°, γ = 83.83°
Site moments in Bohr magnetons follow the coordinates.
Fractional coordinates of all 21 atoms:
1 Mn 0.6613 0.1392 0.6634  1.51
2 Mn 0.0000 0.0000 0.5000  0.14
3 Mn 0.8749 0.3513 0.3513  2.54
4 Mn 0.0000 0.5000 0.0000  0.14
5 Mn 0.7208 0.0051 0.2822  0.39
6 Mn 0.2792 0.9949 0.7178  0.39
7 Mn 0.3387 0.8608 0.3366  1.51
8 Mn 0.6613 0.6634 0.1392  1.51
9 Mn 0.7208 0.2822 0.0051  0.39
10 Mn 0.0000 0.7242 0.2758  -1.75
11 Mn 0.2792 0.7178 0.9949  0.39
12 Mn 0.0000 0.2758 0.7242  -1.75
13 Mn 0.3387 0.3366 0.8608  1.51
14 Mn 0.1251 0.6487 0.6487  2.54
15 Mn 0.9018 0.9043 0.9043  -1.83
16 Mn 0.5000 0.0000 0.0000  1.06
17 Mn 0.0982 0.0957 0.0957  -1.83
18 C 0.5000 0.5000 0.0000  -0.06
19 C 0.5000 0.0000 0.5000  -0.06
20 Dy 0.3506 0.3517 0.3517  -0.11
21 Dy 0.6494 0.6483 0.6483  -0.11

Entry 5:
LiZn6Ga6 | PBE | optimized geometry

N(E_F) ... 4.6 states/eV per cell
ρ ... 6.112 g cm⁻³
E_form ... -18 meV per atom
Volume ... 17.1 Å³/atom
Size of the total moment ... 0.000 μB per atom

a = 5.1697 Å, b = 5.1697 Å, c = 9.5991 Å
α = 90.00°, β = 90.00°, γ = 120.01°
Fractional coordinates of all 13 atoms:
1 Ga 0.3333 0.6667 0.0000
2 Ga 0.3334 0.6666 0.5000
3 Ga 0.6667 0.3333 0.0000
4 Ga 0.0000 0.0000 0.3596
5 Ga 0.0000 0.0000 0.6404
6 Ga 0.6666 0.3334 0.5000
7 Zn 0.0000 0.5000 0.7570
8 Zn 0.5000 0.0000 0.2430
9 Zn 0.0000 0.5000 0.2430
10 Zn 0.5000 0.5000 0.7571
11 Zn 0.5000 0.5000 0.2429
12 Zn 0.5000 0.0000 0.7570
13 Li 0.0000 0.0000 0.0000

Entry 6:
ErTmGePt | PBE | optimized geometry

N(E_F) ... 1.0 states/eV per cell
ρ ... 11.668 g cm⁻³
E_form ... -966 meV per atom
Volume ... 21.5 Å³/atom
Size of the total moment ... 0.000 μB per atom

a = 4.9536 Å, b = 4.9536 Å, c = 4.9536 Å
α = 60.00°, β = 60.00°, γ = 60.00°
Fractional coordinates of all 4 atoms:
1 Pt 0.2500 0.2500 0.2500
2 Er 0.0000 0.0000 0.0000
3 Tm 0.5000 0.5000 0.5000
4 Ge 0.7500 0.7500 0.7500

Entry 7:
Ta2FeCu | PBE | optimized geometry

N(E_F) ... 3.3 states/eV per cell
ρ ... 13.522 g cm⁻³
E_form ... 153 meV per atom
Volume ... 14.8 Å³/atom
Size of the total moment ... 0.000 μB per atom

a = 4.9841 Å, b = 4.9841 Å, c = 4.9841 Å
α = 135.92°, β = 135.92°, γ = 64.10°
Fractional coordinates of all 4 atoms:
1 Ta 0.0000 0.0000 0.0000
2 Ta 0.2500 0.7500 0.5000
3 Fe 0.7500 0.2500 0.5000
4 Cu 0.5000 0.5000 0.0000

Entry 8:
AcNi3Ir | PBE | optimized geometry

N(E_F) ... 15.0 states/eV per cell
ρ ... 11.337 g cm⁻³
E_form ... -93 meV per atom
Volume ... 17.4 Å³/atom
Size of the total moment ... 0.157 μB per atom

a = 5.4838 Å, b = 6.0596 Å, c = 6.0596 Å
α = 120.00°, β = 90.00°, γ = 90.00°
Site moments in Bohr magnetons follow the coordinates.
Fractional coordinates of all 10 atoms:
1 Ni 0.7500 0.7991 0.5983  0.21
2 Ni 0.2500 0.2009 0.4017  0.21
3 Ni 0.7500 0.7991 0.2009  0.21
4 Ni 0.2500 0.5983 0.7991  0.21
5 Ni 0.2500 0.2009 0.7991  0.21
6 Ni 0.7500 0.4017 0.2009  0.21
7 Ir 0.5000 0.0000 0.0000  0.20
8 Ir 0.0000 0.0000 0.0000  0.20
9 Ac 0.7500 0.3333 0.6667  -0.02
10 Ac 0.2500 0.6667 0.3333  -0.02